# MgTiI2O

A relaxed structure of MgTiI2O (PBE-GGA, Alexandria).

For the total magnetization, the calculation gives 0.968 μB/f.u. The value obtained for the density of states at the Fermi level is 2.217 states/eV per cell. Its raw formation energy is -1030 meV per atom.

Cell: 5.7880 5.7880 3.7770 Å, 90.00 90.00 90.00°
With the nearest neighbours (Å) after each atom.
Fractional coordinates of all 5 atoms:
1 Mg 0.0000 0.0000 0.0000  8 I 3.46, 2 Mg 3.78
2 Ti 0.5000 0.5000 0.5000  2 O 1.89
3 I 0.0000 0.5000 0.5000  2 Ti 2.89
4 I 0.5000 0.0000 0.5000  2 Ti 2.89
5 O 0.5000 0.5000 0.0000  2 Ti 1.89

# MgTiIO2

A relaxed structure of MgTiIO2 (PBE-GGA, Alexandria).

For the total magnetization, the calculation gives 0.000 μB/f.u. The value obtained for the density of states at the Fermi level is 5.511 states/eV per cell. Its raw formation energy is -463 meV per atom.

Cell: 3.9815 3.9815 5.3301 Å, 90.00 90.00 90.00°
With the nearest neighbours (Å) after each atom.
Fractional coordinates of all 5 atoms:
1 Mg 0.0000 0.0000 0.0000  4 O 1.99
2 Ti 0.5000 0.5000 0.5000  4 I 2.82
3 I 0.0000 0.0000 0.5000  2 Mg 2.67, 4 Ti 2.82
4 O 0.0000 0.5000 0.0000  2 Mg 1.99
5 O 0.5000 0.0000 0.0000  2 Mg 1.99